FeNCl2 after structural relaxation. Source: Alexandria via LeMat-Bulk, functional PBE.

Results
* crystal system: triclinic
* raw formation energy: 0.77 eV per atom
* DOS(E_F): 0.63 states/eV/atom
* excess energy over the best structure of this formula in the dataset: 0 meV per atom

Cell: 3.533 6.120 9.448 Å, 77.08 89.94 90.00°
Fractional positions:
Fe (0.000, 0.000, 0.000)
Fe (0.500, 0.499, 0.000)
N (0.003, 0.500, 0.497)
N (0.504, 0.999, 0.502)
Cl (0.000, 0.281, 0.152)
Cl (0.001, 0.719, 0.849)
Cl (0.500, 0.781, 0.151)
Cl (0.501, 0.219, 0.848)



KSnAu after structural relaxation. Source: Alexandria via LeMat-Bulk, functional PBE.

Results
* crystal system: triclinic
* energy of formation: -0.328 eV per atom
* DOS(E_F): 0.34 states/eV/atom

Cell: 4.810 6.445 6.507 Å, 96.54 111.56 90.10°
Fractional positions:
K (0.123, 0.360, 0.247)
K (0.877, 0.640, 0.753)
Sn (0.412, 0.149, 0.824)
Sn (0.588, 0.851, 0.176)
Au (0.198, 0.894, 0.397)
Au (0.802, 0.106, 0.603)



Ho12Er7Pb after structural relaxation. Source: Alexandria via LeMat-Bulk, functional PBE.

Results
* crystal system: trigonal
* energy of formation: 0.161 eV per atom
* DOS(E_F): 1.84 states/eV/atom

Cell: 8.575 8.575 8.575 Å, 88.35 88.35 88.35°
Fractional positions:
Ho (0.001, 0.643, 0.117)
Ho (0.117, 0.001, 0.643)
Ho (0.238, 0.632, 0.758)
Ho (0.242, 0.762, 0.368)
Ho (0.357, 0.883, 0.999)
Ho (0.368, 0.242, 0.762)
Ho (0.632, 0.758, 0.238)
Ho (0.643, 0.117, 0.001)
Ho (0.758, 0.238, 0.632)
Ho (0.762, 0.368, 0.242)
Ho (0.883, 0.999, 0.357)
Ho (0.999, 0.357, 0.883)
Er (0.000, 0.000, 0.000)
Er (0.114, 0.353, 0.438)
Er (0.353, 0.438, 0.114)
Er (0.438, 0.114, 0.353)
Er (0.562, 0.886, 0.647)
Er (0.647, 0.562, 0.886)
Er (0.886, 0.647, 0.562)
Pb (0.500, 0.500, 0.500)



Tb4Dy9Cd11 after structural relaxation. Source: Alexandria via LeMat-Bulk, functional PBE.

Results
* crystal system: orthorhombic
* energy of formation: -0.235 eV per atom
* DOS(E_F): 1.12 states/eV/atom

Cell: 13.876 13.876 3.531 Å, 90.00 90.00 109.59°
Fractional positions:
Tb (0.081, 0.249, 0.000)
Tb (0.249, 0.081, 0.000)
Tb (0.751, 0.919, 0.000)
Tb (0.919, 0.751, 0.000)
Dy (0.000, 0.000, 0.000)
Dy (0.119, 0.654, 0.000)
Dy (0.294, 0.480, 0.000)
Dy (0.346, 0.881, 0.000)
Dy (0.480, 0.294, 0.000)
Dy (0.520, 0.706, 0.000)
Dy (0.654, 0.119, 0.000)
Dy (0.706, 0.520, 0.000)
Dy (0.881, 0.346, 0.000)
Cd (0.088, 0.450, 0.500)
Cd (0.130, 0.870, 0.500)
Cd (0.285, 0.285, 0.500)
Cd (0.321, 0.679, 0.500)
Cd (0.450, 0.088, 0.500)
Cd (0.500, 0.500, 0.500)
Cd (0.550, 0.912, 0.500)
Cd (0.679, 0.321, 0.500)
Cd (0.715, 0.715, 0.500)
Cd (0.870, 0.130, 0.500)
Cd (0.912, 0.550, 0.500)



Number 1: M_tot 1.750 μB/atom, energy -4.352 eV/atom. Number 2: M_tot 0.000 μB/atom, energy -3.121 eV/atom. Number 3: M_tot 0.000 μB/atom, energy -4.368 eV/atom. Number 4: M_tot 0.050 μB/atom, energy -3.152 eV/atom.